Record 1
Density functional theory data (PBE-GGA) for crystalline Pr5Se6 at its relaxed geometry.

extended XYZ file:
```
11
Lattice="3.682 -6.359 0.000 3.682 6.359 0.000 -2.443 0.000 6.906" Properties=species:S:1:pos:R:3 pbc="T T T"
Pr 0.000 0.000 0.000
Pr 2.460 4.253 3.453
Pr 3.682 2.086 0.000
Pr 3.682 -2.086 0.000
Pr 2.460 -4.253 3.453
Se 1.240 2.104 1.734
Se 0.042 0.000 5.139
Se 1.240 -2.104 1.734
Se 3.680 2.104 5.173
Se 4.878 0.000 1.767
Se 3.680 -2.104 5.173
```

Calculated values
The space group is C2/m, No. 12.


Record 2
Density functional theory data (PBE-GGA) for crystalline P3Au2 at its relaxed geometry.

extended XYZ file:
```
10
Lattice="2.965 -7.303 0.000 2.965 7.303 0.000 -1.489 0.000 4.505" Properties=species:S:1:pos:R:3 pbc="T T T"
P 0.750 1.767 0.817
P 0.386 0.000 2.138
P 0.750 -1.767 0.817
P 3.690 1.767 3.689
P 4.054 0.000 2.368
P 3.690 -1.767 3.689
Au 0.738 3.652 2.253
Au 2.965 1.583 0.000
Au 0.738 -3.652 2.253
Au 2.965 -1.583 0.000
```

Calculated values
The space group is C2/m, No. 12.


Record 3
Density functional theory data (PBE-GGA) for crystalline KNdCo at its relaxed geometry.

extended XYZ file:
```
3
Lattice="0.000 3.486 3.486 3.486 0.000 3.486 3.486 3.486 0.000" Properties=species:S:1:pos:R:3 pbc="T T T"
K 0.000 0.000 0.000
Nd 3.486 3.486 3.486
Co 1.743 1.743 1.743
```

Calculated values
The space group is F-43m, No. 216. For the offset from the most stable computed form, the calculation gives 0 meV per atom.


Record 4
Density functional theory data (PBE-GGA) for crystalline TbTmSi at its relaxed geometry.

extended XYZ file:
```
3
Lattice="0.000 3.405 3.405 3.405 0.000 3.405 3.405 3.405 0.000" Properties=species:S:1:pos:R:3 pbc="T T T"
Tb 0.000 0.000 0.000
Tm 3.405 3.405 3.405
Si 1.702 1.702 1.702
```

Calculated values
The space group is F-43m, No. 216. For the offset from the most stable computed form, the calculation gives 0 meV per atom.


Record 5
Density functional theory data (PBE-GGA) for crystalline SrZnRe2 at its relaxed geometry.

extended XYZ file:
```
4
Lattice="0.000 3.293 3.293 3.293 0.000 3.293 3.293 3.293 0.000" Properties=species:S:1:pos:R:3 pbc="T T T"
Sr 0.000 0.000 0.000
Zn 1.646 1.646 1.646
Re 3.293 3.293 3.293
Re 4.939 4.939 4.939
```

Calculated values
The space group is F-43m, No. 216.


Record 6
Density functional theory data (PBE-GGA) for crystalline GdInPd at its relaxed geometry.

extended XYZ file:
```
9
Lattice="8.276 0.000 0.000 -4.138 7.167 0.000 0.000 0.000 3.344" Properties=species:S:1:pos:R:3 pbc="T T T"
Gd -1.230 2.130 0.000
Gd 2.459 0.000 0.000
Gd 2.908 5.037 0.000
In 0.000 0.000 1.672
In 0.000 4.778 0.000
In 4.138 2.389 0.000
Pd -2.612 4.525 1.672
Pd 1.526 2.642 1.672
Pd 5.225 0.000 1.672
```

Calculated values
The space group is P-62m, No. 189.


Record 7
Density functional theory data (PBE-GGA) for crystalline Tc2Ag2Br at its relaxed geometry.

extended XYZ file:
```
10
Lattice="-2.312 2.312 10.763 2.312 -2.312 10.763 2.312 2.312 -10.763" Properties=species:S:1:pos:R:3 pbc="T T T"
Tc 0.000 0.000 1.173
Tc 2.312 0.000 5.382
Tc 0.000 2.312 5.382
Tc 0.000 0.000 20.354
Ag 2.312 0.000 0.000
Ag 0.000 0.000 3.827
Ag 0.000 2.312 0.000
Ag 0.000 0.000 17.699
Br 0.000 0.000 7.447
Br 0.000 0.000 14.079
```

Calculated values
The space group is I4/mmm, No. 139.


Record 8
Density functional theory data (PBE-GGA) for crystalline Gd2HoTmTl2 at its relaxed geometry.

extended XYZ file:
```
6
Lattice="5.394 0.000 0.000 -2.697 4.672 0.000 0.000 0.000 6.713" Properties=species:S:1:pos:R:3 pbc="T T T"
Gd 0.000 0.000 1.668
Gd 0.000 0.000 5.045
Ho 0.000 3.114 3.357
Tm 2.697 1.557 0.000
Tl 0.000 3.114 0.000
Tl 2.697 1.557 3.357
```

Calculated values
The space group is P-6m2, No. 187.


Record 9
Density functional theory data (PBE-GGA) for crystalline PaTa at its relaxed geometry.

extended XYZ file:
```
2
Lattice="0.000 2.889 2.889 2.889 0.000 2.889 2.889 2.889 0.000" Properties=species:S:1:pos:R:3 pbc="T T T"
Pa 0.000 0.000 0.000
Ta 2.889 2.889 2.889
```

Calculated values
The space group is Fm-3m, No. 225. The value obtained for the energy of formation from the pure elements is 1127 meV per atom. For the offset from the most stable computed form, the calculation gives 852 meV per atom.


Record 10
Density functional theory data (PBE-GGA) for crystalline Pr4Si3Ge at its relaxed geometry.

extended XYZ file:
```
8
Lattice="5.993 0.000 0.000 0.000 3.999 0.000 -0.003 0.000 8.345" Properties=species:S:1:pos:R:3 pbc="T T T"
Pr 0.000 0.000 0.000
Pr 1.374 2.000 5.374
Pr 2.981 2.000 1.184
Pr 4.363 0.000 4.217
Si 1.454 0.000 3.003
Si 2.959 0.000 7.158
Si 4.397 2.000 6.583
Ge 5.911 2.000 2.390
```

Calculated values
The space group is Pm, No. 6. For the offset from the most stable computed form, the calculation gives 0 meV per atom.


Record 11
Density functional theory data (PBE-GGA) for crystalline Dy4TlB2S at its relaxed geometry.

extended XYZ file:
```
8
Lattice="3.708 0.000 0.000 -1.854 3.211 0.000 0.000 0.000 15.201" Properties=species:S:1:pos:R:3 pbc="T T T"
Dy 0.000 0.000 1.850
Dy 0.000 0.000 13.351
Dy 0.000 2.141 4.892
Dy 0.000 2.141 10.309
Tl 0.000 0.000 7.601
B 1.854 1.070 3.409
B 1.854 1.070 11.792
S 0.000 2.141 0.000
```

Calculated values
The space group is P-6m2, No. 187.


Record 12
Density functional theory data (PBE-GGA) for crystalline HoSiAs at its relaxed geometry.

extended XYZ file:
```
3
Lattice="0.000 3.287 3.287 3.287 0.000 3.287 3.287 3.287 0.000" Properties=species:S:1:pos:R:3 pbc="T T T"
Ho 0.000 0.000 0.000
Si 4.931 4.931 4.931
As 3.287 3.287 3.287
```

Calculated values
The space group is F-43m, No. 216.


no.,total energy (eV/cell)
1,-65.56
2,-46.66
3,-10.47
4,-15.90
5,-24.41
6,-40.91
7,-42.89
8,-24.64
9,-19.09
10,-46.11
11,-42.59
12,-15.07